No. 1
The following is a DFT calculation (PBE) of CsMgTiI6 after structural relaxation.

Values from the calculation:
* size of the total moment: 1.0 μB per cell
* formation energy without anion corrections: -1.009 eV per atom
* density of states at the Fermi level: 6.40 states/eV/f.u.
* uncorrected energy: -28.7 eV per cell

Cell and atoms, written as POSCAR:
```
CsMgTiI6
1.0
-4.702 1.033 -5.758
-2.951 -5.922 -3.550
-6.755 0.081 5.552
Ti I Cs Mg
1 6 1 1
direct
0.665 0.667 0.500 Ti
0.634 0.989 0.313 I
0.989 0.631 0.689 I
0.377 0.633 0.312 I
0.377 0.990 0.688 I
0.634 0.376 0.687 I
0.989 0.379 0.311 I
0.000 0.000 0.000 Cs
0.333 0.334 0.500 Mg
```

No. 2
The following is a DFT calculation (PBE) of NdSm2Tl3S6 after structural relaxation.

Values from the calculation:
* size of the total moment: 0.0 μB per cell
* formation energy without anion corrections: -1.463 eV per atom
* density of states at the Fermi level: 0.00 states/eV/f.u.
* uncorrected energy: -63.6 eV per cell

Cell and atoms, written as POSCAR:
```
NdSm2Tl3S6
1.0
7.180 -0.001 0.000
-3.589 6.219 0.000
-1.197 -2.073 7.503
Sm Nd Tl S
2 1 3 6
direct
0.333 0.667 0.000 Sm
0.667 0.333 0.000 Sm
0.000 0.000 0.000 Nd
0.167 0.833 0.500 Tl
0.833 0.167 0.500 Tl
0.500 0.500 0.500 Tl
0.269 0.269 0.798 S
0.932 0.596 0.797 S
0.731 0.731 0.202 S
0.068 0.404 0.203 S
0.404 0.068 0.203 S
0.596 0.932 0.797 S
```